FePb | GGA-PBE | relaxed Values from VASP.

Symmetry   No. 51
Raw total energy   -5.454 eV/atom
Magnetization   5.03 Bohr magnetons per cell

Quantum ESPRESSO input file:
```
&SYSTEM
  ibrav = 0, nat = 4, ntyp = 2
/
ATOMIC_SPECIES
Fe 55.84 Fe.upf
Pb 207.20 Pb.upf
CELL_PARAMETERS angstrom
4.1972 0.0000 0.0000
0.0000 3.5066 0.0000
0.0000 0.0000 5.5392
ATOMIC_POSITIONS angstrom
Fe 1.0493 0.0000 0.6946
Fe 3.1479 0.0000 4.8447
Pb 1.0493 1.7533 4.0154
Pb 3.1479 1.7533 1.5239
```